TiCu3Rh (GGA-PBE, optimized geometry); magnetic moment = 1.80 μB/cell
1.0
-0.543 -1.998 -3.929
-2.482 -3.132 1.936
-3.642 2.433 -0.734
Rh Cu Ti
1 3 1
Cartesian
-3.334 -1.349 -1.363
-0.271 -0.999 -1.964
-1.821 1.216 -0.367
-1.241 -1.566 0.968
0.000 0.000 0.000



Ti12Cu2Rh5 (GGA-PBE, optimized geometry); magnetic moment = 0.01 μB/cell
1.0
6.182 0.000 0.000
-3.091 6.750 0.651
0.000 -1.620 7.656
Ti Rh Cu
12 5 2
Cartesian
1.439 4.181 3.756
0.000 -0.379 6.544
-1.623 2.924 7.027
1.623 2.924 7.027
-1.439 4.181 3.756
3.091 -0.307 2.427
1.468 2.206 1.281
3.091 5.509 1.764
4.531 0.950 4.552
4.714 2.206 1.281
1.652 0.950 4.552
0.000 5.437 5.881
3.091 2.462 3.091
0.000 4.335 1.379
0.000 -0.810 3.828
0.000 2.669 5.216
3.091 0.795 6.929
1.909 0.000 0.000
4.273 0.000 0.000



Ti4CuRh (GGA-PBE, optimized geometry); magnetic moment = 0.00 μB/cell; relative energy among the computed polymorphs = 405 meV per atom
1.0
4.230 0.000 -0.002
0.000 4.231 -0.002
0.002 0.004 6.008
Ti Cu Rh
4 1 1
Cartesian
0.007 2.107 4.492
2.122 4.223 4.491
0.006 2.105 1.491
2.121 4.221 1.489
0.008 4.219 2.990
2.122 2.109 5.995



Ti7Cu2Rh2 (GGA-PBE, optimized geometry); magnetic moment = 3.52 μB/cell
1.0
5.496 -0.002 -0.724
0.003 6.583 0.003
-1.065 -0.002 5.440
Ti Rh Cu
7 2 2
Cartesian
4.965 4.699 1.998
0.000 0.000 0.000
2.216 1.768 2.359
2.218 4.811 2.360
1.683 1.878 5.079
2.750 4.701 -0.360
-0.532 1.880 2.721
0.852 3.291 0.907
3.582 3.288 3.812
0.878 6.581 3.620
3.555 -0.002 1.099



TiCu2Rh (GGA-PBE, optimized geometry); magnetic moment = 0.00 μB/cell
1.0
-0.039 -4.927 -4.908
4.994 -3.436 3.409
0.781 -5.410 0.497
Cu Ti Rh
4 2 2
Cartesian
0.795 -4.883 -2.539
3.312 -4.094 1.663
2.422 -7.178 -0.204
4.944 -11.390 -0.924
2.478 -4.181 -0.750
4.126 -6.513 1.578
1.610 -7.259 -2.580
0.000 0.000 0.000



TiCuRh2 (GGA-PBE, optimized geometry); magnetic moment = 0.00 μB/cell
1.0
3.843 0.000 0.000
0.000 3.843 0.000
1.922 1.922 8.403
Rh Ti Cu
4 2 2
Cartesian
0.903 2.883 2.101
2.940 0.961 2.101
4.804 4.862 6.302
2.883 2.825 6.302
1.922 1.922 0.000
1.922 3.843 4.202
3.843 1.922 4.202
0.000 0.000 0.000



Ti2Cu2Rh (GGA-PBE, optimized geometry); magnetic moment = 0.00 μB/cell; relative energy among the computed polymorphs = 0 meV per atom
1.0
3.641 0.000 0.000
1.820 4.215 -0.034
1.820 0.234 4.647
Ti Rh Cu
2 1 2
Cartesian
3.641 2.704 0.905
3.641 1.745 3.708
0.000 0.000 0.000
1.820 0.946 1.900
5.461 3.503 2.714



TiVCuRh (GGA-PBE, optimized geometry); magnetic moment = 0.99 μB/cell
1.0
-2.806 -1.588 2.813
-1.258 -4.078 -0.303
1.279 -2.856 2.918
Ti Rh Cu V
1 1 1 1
Cartesian
0.000 0.000 0.000
-1.392 -4.261 2.714
-2.089 -6.391 4.071
-0.696 -2.130 1.357



YTiCuRh (GGA-PBE, optimized geometry); magnetic moment = 0.23 μB/cell
1.0
4.655 0.000 0.000
2.327 4.031 0.000
2.327 1.344 3.801
Y Cu Ti Rh
1 1 1 1
Cartesian
2.327 1.344 0.950
4.655 2.687 1.900
6.982 4.031 2.850
0.000 0.000 0.000



YTiCu2Rh (GGA-PBE, optimized geometry); magnetic moment = 0.17 μB/cell
1.0
-4.419 0.135 -1.960
-1.949 -0.798 4.339
-0.202 4.768 0.786
Ti Y Rh Cu
1 1 1 2
Cartesian
-3.285 2.053 1.582
0.000 0.000 0.000
-0.975 -0.399 2.170
-0.101 2.384 0.393
-2.210 0.068 -0.980



TiZnCuRh (GGA-PBE, optimized geometry); magnetic moment = 0.00 μB/cell
1.0
-1.295 -1.829 3.173
-0.731 -3.170 -2.125
4.428 1.257 0.154
Rh Zn Cu Ti
1 1 1 1
Cartesian
-1.013 -2.499 0.524
1.342 -2.206 -0.724
3.133 -0.572 3.327
1.060 -1.536 1.926



TlCu3Rh (GGA-PBE, optimized geometry); magnetic moment = 0.00 μB/cell; relative energy among the computed polymorphs = 0 meV per atom
1.0
-4.099 1.506 -1.762
-1.843 -4.289 0.621
-1.406 1.231 4.322
Cu Rh Tl
3 1 1
Cartesian
-0.703 0.615 2.161
-2.049 0.753 -0.881
-0.921 -2.144 0.311
0.000 0.000 0.000
-3.674 -0.776 1.591



no.,E_form (eV/atom),electronic total energy (eV per cell),volume (Å³/atom)
1,1.3822,-20.6,17.52
2,-0.1722,-143.0,17.16
3,0.0499,-42.7,17.92
4,0.0971,-77.1,17.43
5,0.1570,-45.6,14.74
6,-0.0040,-53.4,15.52
7,-0.2859,-32.8,14.27
8,-0.2055,-29.3,13.85
9,-0.3410,-27.2,17.83
10,1.1968,-23.9,22.56
11,-0.4155,-22.3,13.95
12,0.7968,-18.0,20.88